# 1
A plane-wave DFT calculation with SCAN was carried out for ReAu2Se at its PBEsol-relaxed geometry.

The total moment comes out at 0.00 μB/cell. The calculation puts the total energy at -56.6196 eV per atom. As for the volume: 16.59 Å³ per atom. The calculation puts the uncorrected formation energy at 0.7528 eV/atom.

The space group is Cmmm (No. 65) and the conventional cell measures 5.565, 8.891 and 2.683 Å, with angles of 90.00, 90.00 and 90.00 degrees. Symmetry generates all atoms from Re at (0.000, 0.000, 0.000), Au at (0.250, 0.250, 0.500) and Se at (0.000, 0.500, 0.000).

=====

# 2
A plane-wave DFT calculation with SCAN was carried out for InAg3 at its PBEsol-relaxed geometry.

The total moment comes out at 0.00 μB/cell. The calculation puts the total energy at -31.8882 eV per atom. As for the volume: 17.72 Å³ per atom. The formation energy comes out at -16.2 meV per atom.

The space group is Imm2 (No. 44) and the conventional cell measures 3.119, 9.359 and 4.857 Å, with angles of 90.00, 90.00 and 90.00 degrees. Symmetry generates all atoms from In at (0.000, 0.000, 0.000), Ag at (0.000, 0.247, 0.371) and Ag at (0.000, 0.500, 0.005).

=====

# 3
A plane-wave DFT calculation with SCAN was carried out for LuCd at its PBEsol-relaxed geometry.

The total moment comes out at 0.00 μB/cell. The calculation puts the total energy at -43.2937 eV per atom. As for the volume: 23.38 Å³ per atom. The formation energy comes out at -414.3 meV per atom.

The space group is Pm-3m (No. 221) and the conventional cell measures 3.603, 3.603 and 3.603 Å, with angles of 90.00, 90.00 and 90.00 degrees. Symmetry generates all atoms from Lu at (0.000, 0.000, 0.000) and Cd at (0.500, 0.500, 0.500).

=====

# 4
A plane-wave DFT calculation with SCAN was carried out for BeRe2Au at its PBEsol-relaxed geometry.

The total moment comes out at 0.00 μB/cell. The calculation puts the total energy at -53.5322 eV per atom. As for the volume: 13.98 Å³ per atom. The formation energy comes out at 394.2 meV per atom.

The space group is I4/mmm (No. 139) and the conventional cell measures 3.675, 3.675 and 8.279 Å, with angles of 90.00, 90.00 and 90.00 degrees. Symmetry generates all atoms from Be at (0.000, 0.000, 0.000), Re at (0.000, 0.500, 0.250) and Au at (0.000, 0.000, 0.500).

=====

# 5
A plane-wave DFT calculation with SCAN was carried out for BaSNF2 at its PBEsol-relaxed geometry.

As for the energy above the lowest structure with this stoichiometry: 747 meV/atom. The total moment comes out at 5.00 μB/cell. The calculation puts the total energy at -13.7343 eV per atom. As for the volume: 28.88 Å³ per atom. The calculation puts the uncorrected formation energy at -0.6244 eV/atom.

The space group is P4/mmm (No. 123) and the conventional cell measures 4.937, 4.937 and 5.923 Å, with angles of 90.00, 90.00 and 90.00 degrees. Symmetry generates all atoms from Ba at (0.000, 0.000, 0.000), S at (0.500, 0.500, 0.500), N at (0.000, 0.000, 0.500) and F at (0.000, 0.500, 0.000).

=====

# 6
A plane-wave DFT calculation with SCAN was carried out for RbPbSe2N at its PBEsol-relaxed geometry.

The total moment comes out at 2.30 μB/cell. The calculation puts the total energy at -28.8787 eV per atom. As for the volume: 28.18 Å³ per atom. The calculation puts the uncorrected formation energy at 0.3150 eV/atom.

The space group is P4/mmm (No. 123) and the conventional cell measures 5.539, 5.539 and 4.591 Å, with angles of 90.00, 90.00 and 90.00 degrees. Symmetry generates all atoms from Rb at (0.000, 0.000, 0.000), Pb at (0.500, 0.500, 0.500), Se at (0.000, 0.500, 0.500) and N at (0.500, 0.500, 0.000).

=====

# 7
A plane-wave DFT calculation with SCAN was carried out for Li2NiAu at its PBEsol-relaxed geometry.

The total moment comes out at 0.01 μB/cell. The calculation puts the total energy at -22.8176 eV per atom. As for the volume: 12.86 Å³ per atom. The formation energy comes out at -290.1 meV per atom.

The space group is P4/mmm (No. 123) and the conventional cell measures 3.682, 3.682 and 3.795 Å, with angles of 90.00, 90.00 and 90.00 degrees. Symmetry generates all atoms from Li at (0.000, 0.500, 0.000), Ni at (0.000, 0.000, 0.500) and Au at (0.500, 0.500, 0.500).

=====

# 8
A plane-wave DFT calculation with SCAN was carried out for Be3CuN at its PBEsol-relaxed geometry.

The total moment comes out at 0.00 μB/cell. The calculation puts the total energy at -5.9399 eV per atom. As for the volume: 11.99 Å³ per atom. The calculation puts the uncorrected formation energy at 1.5704 eV/atom.

The space group is Pm-3m (No. 221) and the conventional cell measures 3.914, 3.914 and 3.914 Å, with angles of 90.00, 90.00 and 90.00 degrees. Symmetry generates all atoms from Be at (0.000, 0.000, 0.500), Cu at (0.000, 0.000, 0.000) and N at (0.500, 0.500, 0.500).

=====

# 9
A plane-wave DFT calculation with SCAN was carried out for La2BeAuF at its PBEsol-relaxed geometry.

The total moment comes out at 0.00 μB/cell. The calculation puts the total energy at -33.4730 eV per atom. As for the volume: 24.27 Å³ per atom. The calculation puts the uncorrected formation energy at -0.8208 eV/atom.

The space group is P4/mmm (No. 123) and the conventional cell measures 5.407, 5.407 and 4.151 Å, with angles of 90.00, 90.00 and 90.00 degrees. Symmetry generates all atoms from La at (0.000, 0.500, 0.000), Be at (0.000, 0.000, 0.000), Au at (0.000, 0.000, 0.500) and F at (0.500, 0.500, 0.500).

=====

# 10
A plane-wave DFT calculation with SCAN was carried out for ZnCoCl2 at its PBEsol-relaxed geometry.

As for the energy above the lowest structure with this stoichiometry: 0 meV/atom. The total moment comes out at 2.34 μB/cell. The calculation puts the total energy at -12.0945 eV per atom. As for the volume: 19.24 Å³ per atom. The calculation puts the uncorrected formation energy at -0.4006 eV/atom.

The space group is Immm (No. 71) and the conventional cell measures 3.233, 3.819 and 12.461 Å, with angles of 90.00, 90.00 and 90.00 degrees. Symmetry generates all atoms from Zn at (0.000, 0.000, 0.000), Co at (0.000, 0.000, 0.500) and Cl at (0.000, 0.500, 0.138).

=====

# 11
A plane-wave DFT calculation with SCAN was carried out for MgPtAu2C at its PBEsol-relaxed geometry.

The total moment comes out at 0.00 μB/cell. The calculation puts the total energy at -44.3057 eV per atom. As for the volume: 14.86 Å³ per atom. The formation energy comes out at 410.4 meV per atom.

The space group is P4/mmm (No. 123) and the conventional cell measures 4.187, 4.187 and 4.239 Å, with angles of 90.00, 90.00 and 90.00 degrees. Symmetry generates all atoms from Mg at (0.000, 0.000, 0.000), Pt at (0.500, 0.500, 0.000), Au at (0.000, 0.500, 0.500) and C at (0.000, 0.000, 0.500).

=====

# 12
A plane-wave DFT calculation with SCAN was carried out for LaBiBr2 at its PBEsol-relaxed geometry.

The total moment comes out at 0.00 μB/cell. The calculation puts the total energy at -41.0704 eV per atom. As for the volume: 27.09 Å³ per atom. The calculation puts the uncorrected formation energy at -0.9195 eV/atom.

The space group is Fm-3m (No. 225) and the conventional cell measures 7.568, 7.568 and 7.568 Å, with angles of 90.00, 90.00 and 90.00 degrees. Symmetry generates all atoms from La at (0.000, 0.000, 0.000), Bi at (0.000, 0.000, 0.500) and Br at (0.250, 0.250, 0.250).